The following is a DFT calculation (PBE) of an optimized crystal structure of Tb2YTi.

## Properties
As for the volume: 28.871 Å³ per atom. The value obtained for the total energy is -5.47 eV/atom. Its calculated formation energy is 0.4356 eV/atom.

a b c (Å): 3.3692 3.3692 35.2406
angles (deg): 90.00 90.00 120.00
Space group R-3m (No. 166, hexagonal axes)
Unique sites:
Tb 0.0000 0.0000 0.0835 x6
Y 0.0000 0.0000 0.5000 x3
Ti 0.0000 0.0000 0.0000 x3